AgPt3 | Alexandria | PBE | optimized geometry; formation energy = -14 meV per atom
1.0
-0.3903 -4.9386 -0.2672
0.5555 1.4597 4.7089
-2.7594 0.2039 0.2623
Pt Ag
3 1
Direct
0.0000 0.5000 0.5000
0.5000 0.0000 0.5000
0.5000 0.5000 0.0000
0.0000 0.0000 0.0000

***

PrPa2Co9 | Alexandria | PBE | optimized geometry; formation energy = -191 meV per atom
1.0
-3.4913 3.1828 -1.3507
-4.7391 -1.1510 0.6000
-2.6042 4.0119 7.2474
Co Pr Pa
9 1 2
Direct
0.5829 0.0831 0.7511
0.5000 0.5000 0.5000
0.6669 0.6669 0.9992
0.3331 0.3331 0.0008
0.4171 0.9169 0.2489
0.9169 0.4171 0.2489
0.4171 0.4171 0.2489
0.0831 0.5829 0.7511
0.5829 0.5829 0.7511
0.0000 0.0000 0.0000
0.1380 0.1380 0.5859
0.8620 0.8620 0.4141

***

KMo3Br | Alexandria | PBE | optimized geometry; uncorrected formation energy = 3.427 eV per atom
1.0
-3.8903 0.0863 -2.5779
1.1293 -4.1373 -1.8426
-2.3190 -2.1594 3.4274
Mo Br K
3 1 1
Direct
0.0000 0.5000 0.0000
0.0000 0.0000 0.5000
0.5000 0.0000 0.0000
0.5000 0.5000 0.5000
0.0000 0.0000 0.0000

***

La5DyY2Ho | Alexandria | PBE | optimized geometry; formation energy = 310 meV per atom
1.0
-6.0652 -5.1341 -3.8308
6.4055 -4.8056 -3.7009
-0.1078 0.0188 10.3027
La Y Ho Dy
10 4 2 2
Direct
0.0657 0.5657 0.7098
0.5657 0.6440 0.7098
0.4343 0.3560 0.2902
0.8560 0.9343 0.2902
0.9343 0.4343 0.2902
0.1440 0.0657 0.7098
0.0000 0.0000 0.0000
0.5000 0.5000 0.0000
0.3560 0.8560 0.2902
0.6440 0.1440 0.7098
0.1199 0.3801 0.0000
0.3801 0.8801 0.0000
0.6199 0.1199 0.0000
0.8801 0.6199 0.0000
0.2500 0.2500 0.5000
0.7500 0.7500 0.5000
0.7500 0.2500 0.5000
0.2500 0.7500 0.5000

***

Sn3WCl | Alexandria | PBE | optimized geometry; uncorrected formation energy = 1.356 eV per atom
1.0
5.2032 0.0000 0.0000
0.0000 5.2032 0.0000
0.0000 0.0000 5.2032
Sn W Cl
3 1 1
Direct
0.0000 0.5000 0.0000
0.0000 0.0000 0.5000
0.5000 0.0000 0.0000
0.5000 0.5000 0.5000
0.0000 0.0000 0.0000

***

SrBe2HgI | Alexandria | PBE | optimized geometry; uncorrected formation energy = 0.106 eV per atom
1.0
-0.2375 -4.4009 1.4390
0.3355 -2.0710 -6.2784
4.6242 -0.1523 0.2973
I Hg Be Sr
1 1 2 1
Direct
0.5000 0.5000 0.5000
0.0000 0.0000 0.0000
0.5000 0.0000 0.0000
0.0000 0.0000 0.5000
0.0000 0.5000 0.0000

***

Ac3Pm2Nd3 | Alexandria | PBE | optimized geometry; formation energy = 106 meV per atom
1.0
6.2682 0.0000 0.0000
0.0000 6.2678 0.0000
0.0000 0.0000 7.7867
Ac Nd Pm
3 3 2
Direct
0.0000 0.5000 0.5000
0.5000 0.0000 0.5000
0.0000 0.5000 0.0000
0.5000 0.5000 0.7593
0.5000 0.0000 0.0000
0.5000 0.5000 0.2407
0.0000 0.0000 0.7588
0.0000 0.0000 0.2412

***

Sn2Pb2I | Alexandria | PBE | optimized geometry; uncorrected formation energy = 0.021 eV per atom
1.0
-1.0668 -0.3439 9.3520
0.7762 -9.3833 -0.2565
3.6640 0.2914 0.4287
Pb Sn I
4 4 2
Direct
0.8256 0.6744 0.0000
0.3256 0.8256 0.0000
0.1744 0.3256 0.0000
0.6744 0.1744 0.0000
0.1193 0.6193 0.5000
0.8807 0.3807 0.5000
0.3807 0.1193 0.5000
0.6193 0.8807 0.5000
0.5000 0.5000 0.0000
0.0000 0.0000 0.0000

***

LaInPb2 | Alexandria | PBE | optimized geometry; formation energy = -229 meV per atom
1.0
-7.9935 -3.1592 0.9016
0.9743 -4.5445 -7.2861
-2.2704 -6.4734 -1.3914
In Pb La
2 4 2
Direct
0.2500 0.7500 0.5000
0.5000 0.5000 0.0000
0.8750 0.8443 0.7500
0.3750 0.4057 0.7500
0.5943 0.1250 0.2500
0.1557 0.6250 0.2500
0.7500 0.2500 0.5000
0.0000 0.0000 0.0000

***

DyTeIr | Alexandria | PBE | optimized geometry; uncorrected formation energy = -0.675 eV per atom
1.0
3.7607 0.0000 0.0000
0.0000 3.7607 0.0000
-1.8804 -1.8804 11.2280
Dy Te Ir
2 2 2
Direct
0.8953 0.8953 0.7907
0.1047 0.1047 0.2093
0.6741 0.6741 0.3483
0.3259 0.3259 0.6517
0.0000 0.5000 0.0000
0.5000 0.0000 0.0000

***

BeAlAs2 | Alexandria | PBE | optimized geometry; formation energy = 392 meV per atom
1.0
-1.7572 1.4103 3.8861
-3.3693 -2.2829 1.9012
0.7159 -2.3378 3.7683
As Be Al
2 1 1
Direct
0.2500 0.2500 0.2500
0.7500 0.7500 0.7500
0.0000 0.0000 0.0000
0.5000 0.5000 0.5000

***

PrPuCuRh | Alexandria | PBE | optimized geometry; formation energy = -243 meV per atom
1.0
4.9876 0.0000 0.0000
2.4938 4.3194 0.0000
2.4938 1.4398 4.0723
Cu Pu Rh Pr
1 1 1 1
Direct
0.7500 0.7500 0.7500
0.5000 0.5000 0.5000
0.2500 0.2500 0.2500
0.0000 0.0000 0.0000